Record 1
PBE-GGA Li2Nd3Tl4, optimized geometry; distance to the lowest polymorph of the same formula = 0.0 meV per atom; space-group type = C2/m
1.0
5.010 0.000 0.000
-2.505 5.210 -2.115
0.000 -0.872 9.516
Tl Li Nd
4 2 3
Direct
0.055 0.110 0.376
0.730 0.460 0.083
0.270 0.540 0.917
0.945 0.890 0.624
0.614 0.228 0.286
0.386 0.772 0.714
0.338 0.676 0.341
0.662 0.324 0.659
0.000 0.000 0.000



Record 2
PBE-GGA AcMnAl2S6, optimized geometry; space-group type = C2/c; uncorrected formation energy = -1.121 eV/atom
1.0
7.600 0.311 0.322
2.809 8.149 0.943
2.809 0.640 8.179
Al S Ac Mn
4 12 2 2
Direct
0.170 0.366 0.226
0.330 0.774 0.634
0.670 0.226 0.366
0.830 0.634 0.774
0.416 0.422 0.277
0.663 0.812 0.968
0.916 0.277 0.422
0.163 0.968 0.812
0.337 0.188 0.032
0.057 0.629 0.094
0.584 0.578 0.723
0.837 0.032 0.188
0.084 0.723 0.578
0.557 0.094 0.629
0.943 0.371 0.906
0.443 0.906 0.371
0.750 0.182 0.818
0.250 0.818 0.182
0.250 0.200 0.800
0.750 0.800 0.200